[1]
# CaSe2Cl

Crystalline CaSe2Cl at its relaxed geometry (PBE, the Alexandria database).

Structure (CIF):
```
data_CaSe2Cl
_chemical_formula_sum 'Ca1 Se2 Cl1'
_space_group_name_H-M_alt 'P 1'
_space_group_IT_number 1
_cell_length_a 6.342
_cell_length_b 6.342
_cell_length_c 6.342
_cell_angle_alpha 43.73
_cell_angle_beta 43.73
_cell_angle_gamma 43.73
loop_
_space_group_symop_operation_xyz
'x,y,z'
loop_
_atom_site_label
_atom_site_type_symbol
_atom_site_fract_x
_atom_site_fract_y
_atom_site_fract_z
Ca1 Ca 0.250 0.250 0.250
Cl1 Cl 0.750 0.750 0.750
Se1 Se 0.977 0.977 0.977
Se2 Se 0.523 0.523 0.523
```

Values from the calculation:
Its energy above the lowest structure with this stoichiometry is 0.825 eV/atom. For the formation energy without anion corrections, the calculation gives -460.6 meV/atom. As for the space group: R-3m (166). The calculation puts the raw total energy at -12.66 eV per formula unit. For the calculated density, the calculation gives 3.50 g/cm3. For the total magnetic moment, the calculation gives 0.0 Bohr magnetons per cell.

---

[2]
# Li2ScW

Crystalline Li2ScW at its relaxed geometry (PBE, the Alexandria database).

Structure (CIF):
```
data_Li2ScW
_chemical_formula_sum 'Li2 Sc1 W1'
_space_group_name_H-M_alt 'P 1'
_space_group_IT_number 1
_cell_length_a 5.563
_cell_length_b 5.563
_cell_length_c 2.673
_cell_angle_alpha 90.00
_cell_angle_beta 90.00
_cell_angle_gamma 122.32
loop_
_space_group_symop_operation_xyz
'x,y,z'
loop_
_atom_site_label
_atom_site_type_symbol
_atom_site_fract_x
_atom_site_fract_y
_atom_site_fract_z
Li1 Li 0.500 0.500 0.000
Li2 Li 0.000 0.000 0.000
Sc1 Sc 0.500 0.000 0.500
W1 W 0.000 0.500 0.500
```

Values from the calculation:
Its energy above the lowest structure with this stoichiometry is 0.280 eV/atom. As for the space group: Cmmm (65). The formation energy from the elements comes out at 554 meV/atom. The calculation puts the raw total energy at -20.89 eV per formula unit. For the calculated density, the calculation gives 5.77 g/cm3. For the total magnetic moment, the calculation gives 0.0 Bohr magnetons per cell.

---

[3]
# Pm2Tm3Tl3

Crystalline Pm2Tm3Tl3 at its relaxed geometry (PBE, the Alexandria database).

Structure (CIF):
```
data_Pm2Tm3Tl3
_chemical_formula_sum 'Pm2 Tm3 Tl3'
_space_group_name_H-M_alt 'P 1'
_space_group_IT_number 1
_cell_length_a 4.929
_cell_length_b 5.019
_cell_length_c 9.157
_cell_angle_alpha 90.00
_cell_angle_beta 90.00
_cell_angle_gamma 90.00
loop_
_space_group_symop_operation_xyz
'x,y,z'
loop_
_atom_site_label
_atom_site_type_symbol
_atom_site_fract_x
_atom_site_fract_y
_atom_site_fract_z
Tm1 Tm 0.500 0.000 0.000
Tm2 Tm 0.500 0.500 0.269
Tm3 Tm 0.500 0.500 0.731
Pm1 Pm 0.000 0.000 0.255
Pm2 Pm 0.000 0.000 0.745
Tl1 Tl 0.000 0.500 0.500
Tl2 Tl 0.500 0.000 0.500
Tl3 Tl 0.000 0.500 0.000
```

Values from the calculation:
As for the space group: Pmmm (47). The formation energy from the elements comes out at -231 meV/atom. The calculation puts the raw total energy at -31.86 eV per formula unit. For the calculated density, the calculation gives 10.34 g/cm3. For the total magnetic moment, the calculation gives 0.0 Bohr magnetons per cell.

---

[4]
# FeCo3Ni6

Crystalline FeCo3Ni6 at its relaxed geometry (PBE, the Alexandria database).

Structure (CIF):
```
data_FeCo3Ni6
_chemical_formula_sum 'Fe1 Co3 Ni6'
_space_group_name_H-M_alt 'P 1'
_space_group_IT_number 1
_cell_length_a 2.447
_cell_length_b 8.631
_cell_length_c 8.631
_cell_angle_alpha 136.38
_cell_angle_beta 90.00
_cell_angle_gamma 90.00
loop_
_space_group_symop_operation_xyz
'x,y,z'
loop_
_atom_site_label
_atom_site_type_symbol
_atom_site_fract_x
_atom_site_fract_y
_atom_site_fract_z
Ni1 Ni 0.000 0.308 0.066
Ni2 Ni 0.000 0.066 0.308
Ni3 Ni 0.000 0.934 0.692
Ni4 Ni 0.000 0.692 0.934
Ni5 Ni 0.500 0.363 0.637
Ni6 Ni 0.500 0.637 0.363
Co1 Co 0.000 0.000 0.000
Co2 Co 0.500 0.000 0.500
Co3 Co 0.500 0.500 0.000
Fe1 Fe 0.000 0.500 0.500
```

Values from the calculation:
Its energy above the lowest structure with this stoichiometry is 0.245 eV/atom. As for the space group: Cmmm (65). The formation energy from the elements comes out at 429 meV/atom. The calculation puts the raw total energy at -60.18 eV per formula unit. For the calculated density, the calculation gives 7.72 g/cm3. For the total magnetic moment, the calculation gives 12.7 Bohr magnetons per cell.